Compound: CdCo3O
Source: the Open Quantum Materials Database
Functional: GGA+U
Structure: optimized geometry

abc: 4.008 4.008 4.008
angles: 90.00 90.00 90.00
Positions (direct):
Cd 0.000 0.000 0.000
Co 0.000 0.500 0.500
Co 0.500 0.000 0.500
Co 0.500 0.500 0.000
O 0.500 0.500 0.500

Values from the calculation:
M_tot = 4.492 μB/cell
total DFT energy (no corrections) = -4.07 eV per atom